[1]
Ba3BiP2Pd9: optimized geometry, PBE.

a b c (Å): 6.590 6.590 9.200
angles (deg): 90.00 90.00 120.00
Fractional positions:
Ba 0.000 0.000 0.000
Ba 0.333 0.667 0.642
Ba 0.667 0.333 0.358
Bi 0.000 0.000 0.500
P 0.333 0.667 0.155
P 0.667 0.333 0.845
Pd 0.000 0.500 0.000
Pd 0.157 0.315 0.275
Pd 0.157 0.843 0.275
Pd 0.315 0.157 0.725
Pd 0.500 0.000 0.000
Pd 0.500 0.500 0.000
Pd 0.685 0.843 0.275
Pd 0.843 0.157 0.725
Pd 0.843 0.685 0.725

Total magnetization (μB per cell): 0.0
Energy of formation (eV per atom): -0.571
Theoretical density (g cm⁻³): 7.9
Space group: P-3m1

[2]
CsCrTeI6: optimized geometry, PBE.

a b c (Å): 7.284 8.011 8.698
angles (deg): 68.46 81.36 68.27
Fractional positions:
Cs 0.000 0.000 0.000
Cr 0.532 0.500 0.494
Te 0.203 0.119 0.514
I 0.221 0.717 0.654
I 0.265 0.491 0.308
I 0.501 0.159 0.720
I 0.549 0.811 0.237
I 0.782 0.504 0.685
I 0.842 0.271 0.330

Raw formation energy (eV per atom): -0.48
Total magnetization (μB per cell): 2.9
Theoretical density (g cm⁻³): 4.1
Space group: P1

[3]
LiSc2TiO: optimized geometry, PBE.

a b c (Å): 4.462 4.462 4.123
angles (deg): 90.00 90.00 90.00
Fractional positions:
Li 0.000 0.000 0.000
Sc 0.000 0.500 0.500
Sc 0.500 0.000 0.500
Ti 0.500 0.500 0.000
O 0.500 0.500 0.500

Raw formation energy (eV per atom): -1.01
Total magnetization (μB per cell): 0.0
Theoretical density (g cm⁻³): 3.3
Space group: P4/mmm

[4]
BaSnSb2Se8: optimized geometry, PBE.

a b c (Å): 6.710 6.710 9.569
angles (deg): 90.00 90.00 120.00
Fractional positions:
Ba 0.000 0.000 0.000
Sn 0.000 0.000 0.500
Sb 0.333 0.667 0.751
Sb 0.667 0.333 0.249
Se 0.035 0.708 0.314
Se 0.292 0.327 0.314
Se 0.327 0.035 0.686
Se 0.333 0.667 0.008
Se 0.667 0.333 0.992
Se 0.673 0.965 0.314
Se 0.708 0.673 0.686
Se 0.965 0.292 0.686

Raw formation energy (eV per atom): -0.40
Total magnetization (μB per cell): 0.0
Theoretical density (g cm⁻³): 5.0
Space group: P-3

[5]
Y2SiSe: optimized geometry, PBE.

a b c (Å): 3.786 3.786 28.575
angles (deg): 90.00 90.00 120.00
Fractional positions:
Y 0.000 0.000 0.000
Y 0.000 0.000 0.219
Y 0.333 0.667 0.667
Y 0.333 0.667 0.885
Y 0.667 0.333 0.333
Y 0.667 0.333 0.552
Si 0.000 0.000 0.735
Si 0.333 0.667 0.401
Si 0.667 0.333 0.068
Se 0.000 0.000 0.495
Se 0.333 0.667 0.161
Se 0.667 0.333 0.828

Raw formation energy (eV per atom): -0.21
Energy above the most stable polymorph in this dataset (eV/atom): 1.133
Total magnetization (μB per cell): 0.2
Theoretical density (g cm⁻³): 4.0
Space group: R3m

[6]
BaCa2Tl: optimized geometry, PBE.

a b c (Å): 4.134 4.131 9.519
angles (deg): 90.00 90.01 90.00
Fractional positions:
Ba 0.000 0.000 0.000
Ca 0.000 0.000 0.597
Ca 0.501 0.500 0.330
Tl 0.500 0.500 0.759

Energy above the most stable polymorph in this dataset (eV/atom): 0.034
Total magnetization (μB per cell): 0.0
Energy of formation (eV per atom): -0.219
Theoretical density (g cm⁻³): 4.3
Space group: Pm

[7]
CePmNdGd: optimized geometry, PBE.

a b c (Å): 8.143 8.143 8.143
angles (deg): 90.00 90.00 90.00
Fractional positions:
Ce 0.000 0.000 0.000
Ce 0.000 0.500 0.500
Ce 0.500 0.000 0.500
Ce 0.500 0.500 0.000
Pm 0.250 0.250 0.250
Pm 0.250 0.750 0.750
Pm 0.750 0.250 0.750
Pm 0.750 0.750 0.250
Nd 0.000 0.000 0.500
Nd 0.000 0.500 0.000
Nd 0.500 0.000 0.000
Nd 0.500 0.500 0.500
Gd 0.250 0.250 0.750
Gd 0.250 0.750 0.250
Gd 0.750 0.250 0.250
Gd 0.750 0.750 0.750

Total magnetization (μB per cell): 39.3
Energy of formation (eV per atom): 0.186
Theoretical density (g cm⁻³): 7.2
Space group: F-43m

[8]
RbOsRh: optimized geometry, PBE.

a b c (Å): 10.115 4.160 9.285
angles (deg): 90.00 117.72 90.00
Fractional positions:
Rb 0.063 0.000 0.340
Rb 0.437 0.500 0.660
Rb 0.563 0.500 0.340
Rb 0.937 0.000 0.660
Os 0.127 0.500 0.032
Os 0.373 0.000 0.968
Os 0.627 0.000 0.032
Os 0.873 0.500 0.968
Rh 0.238 0.500 0.851
Rh 0.262 0.000 0.149
Rh 0.738 0.000 0.851
Rh 0.762 0.500 0.149

Energy above the most stable polymorph in this dataset (eV/atom): 0.177
Total magnetization (μB per cell): 0.0
Energy of formation (eV per atom): 0.655
Theoretical density (g cm⁻³): 7.3
Space group: C2/m

[9]
MoAs2Ir: optimized geometry, PBE.

a b c (Å): 2.864 2.864 8.960
angles (deg): 90.00 90.00 90.00
Fractional positions:
Mo 0.000 0.000 0.000
As 0.000 0.000 0.596
As 0.500 0.500 0.208
Ir 0.500 0.500 0.790

Energy above the most stable polymorph in this dataset (eV/atom): 0.000
Total magnetization (μB per cell): 0.0
Energy of formation (eV per atom): -0.043
Theoretical density (g cm⁻³): 9.9
Space group: P4mm

[10]
ScSbRh4: optimized geometry, PBE.

a b c (Å): 9.434 3.707 5.800
angles (deg): 90.00 108.53 90.00
Fractional positions:
Sc 0.000 0.000 0.000
Sc 0.500 0.500 0.000
Sb 0.000 0.000 0.500
Sb 0.500 0.500 0.500
Rh 0.156 0.500 0.328
Rh 0.166 0.500 0.825
Rh 0.334 0.000 0.175
Rh 0.344 0.000 0.672
Rh 0.656 0.000 0.328
Rh 0.666 0.000 0.825
Rh 0.834 0.500 0.175
Rh 0.844 0.500 0.672

Raw formation energy (eV per atom): -0.44
Energy above the most stable polymorph in this dataset (eV/atom): 0.013
Total magnetization (μB per cell): 0.0
Theoretical density (g cm⁻³): 10.0
Space group: C2/m

[11]
Tb12Nd3Dy: optimized geometry, PBE.

a b c (Å): 5.066 5.066 20.257
angles (deg): 90.00 90.00 90.00
Fractional positions:
Tb 0.000 0.000 0.000
Tb 0.000 0.000 0.249
Tb 0.000 0.000 0.500
Tb 0.000 0.000 0.751
Tb 0.000 0.500 0.123
Tb 0.000 0.500 0.374
Tb 0.000 0.500 0.626
Tb 0.000 0.500 0.877
Tb 0.500 0.000 0.123
Tb 0.500 0.000 0.374
Tb 0.500 0.000 0.626
Tb 0.500 0.000 0.877
Nd 0.500 0.500 0.249
Nd 0.500 0.500 0.500
Nd 0.500 0.500 0.751
Dy 0.500 0.500 0.000

Total magnetization (μB per cell): 0.0
Energy of formation (eV per atom): 0.017
Theoretical density (g cm⁻³): 8.0
Space group: P4/mmm

Q: What is the formula in the eleventh record?
A: Tb12Nd3Dy

Q: total magnetization of number 10 (ScSbRh4)?
A: 0.0 μB per cell

Q: Among the records above, which one has the highest total magnetization?
A: CePmNdGd